# AsOs2Pb

AsOs2Pb after structural relaxation (PBEsol, Alexandria via LeMat-Bulk).

```
AsOs2Pb
1.0
2.849 0.000 0.000
0.000 3.730 0.000
0.000 0.000 7.259
As Os Pb
1 2 1
Cartesian
0.000 0.000 0.000 As
0.000 0.000 2.552 Os
1.424 1.865 1.408 Os
1.424 1.865 4.482 Pb
```

ΔE to the lowest computed polymorph, meV/atom: 0.0
Volume, Å³/f.u.: 77.1
Symmetry: No. 25
DFT formation energy, eV/atom: 0.521

# TlCuBr2

TlCuBr2 after structural relaxation (PBEsol, Alexandria via LeMat-Bulk).

```
TlCuBr2
1.0
3.666 0.000 0.000
0.000 3.666 0.000
0.000 0.000 8.003
Tl Cu Br
1 1 2
Cartesian
0.000 0.000 0.000 Tl
1.833 1.833 4.150 Cu
0.000 0.000 4.661 Br
1.833 1.833 1.738 Br
```

ΔE to the lowest computed polymorph, meV/atom: 136.9
Volume, Å³/f.u.: 107.6
Uncorrected formation energy, eV/atom: -0.335
Symmetry: No. 99

# GdCu2Si2

GdCu2Si2 after structural relaxation (PBEsol, Alexandria via LeMat-Bulk).

```
GdCu2Si2
1.0
-1.976 1.976 4.927
1.976 -1.976 4.927
1.976 1.976 -4.927
Gd Cu Si
1 2 2
Cartesian
0.000 0.000 0.000 Gd
1.976 0.000 2.464 Cu
0.000 1.976 2.464 Cu
0.000 0.000 3.754 Si
0.000 0.000 6.101 Si
```

Volume, Å³/f.u.: 77.0
Uncorrected formation energy, eV/atom: -0.659
Symmetry: No. 139

# Sr3Au

Sr3Au after structural relaxation (PBEsol, Alexandria via LeMat-Bulk).

```
Sr3Au
1.0
2.180 1.258 10.594
-2.180 1.258 10.594
0.000 -2.517 10.594
Sr Au
3 1
Cartesian
0.000 0.000 0.000 Sr
0.000 0.000 7.047 Sr
0.000 0.000 24.735 Sr
0.000 0.000 15.891 Au
```

Volume, Å³/f.u.: 174.3
Symmetry: No. 166
DFT formation energy, eV/atom: -0.331

# RbTl3Cd

RbTl3Cd after structural relaxation (PBEsol, Alexandria via LeMat-Bulk).

```
RbTl3Cd
1.0
6.192 0.000 0.000
0.000 6.192 0.000
0.000 0.000 6.192
Rb Tl Cd
1 3 1
Cartesian
0.000 0.000 0.000 Rb
0.000 0.000 3.096 Tl
0.000 3.096 0.000 Tl
3.096 0.000 0.000 Tl
3.096 3.096 3.096 Cd
```

Volume, Å³/f.u.: 237.5
Symmetry: No. 221
DFT formation energy, eV/atom: 0.922

# In2MoPt

In2MoPt after structural relaxation (PBEsol, Alexandria via LeMat-Bulk).

```
In2MoPt
1.0
1.502 0.867 9.040
-1.502 0.867 9.040
0.000 -1.734 9.040
In Mo Pt
2 1 1
Cartesian
0.000 0.000 6.726 In
0.000 0.000 20.392 In
0.000 0.000 0.000 Mo
0.000 0.000 13.559 Pt
```

ΔE to the lowest computed polymorph, meV/atom: 0.0
Volume, Å³/f.u.: 70.6
Symmetry: No. 166
DFT formation energy, eV/atom: 0.095